(1)
The following is a DFT calculation (PBE) of a relaxed structure of LiAc2Ga6Sn.

Cell lengths 6.6398, 6.6398, 36.6235 Å; angles 90.00, 90.00, 120.00 degrees
With the nearest neighbours (Å) after each atom.
Space group R-3m (No. 166, hexagonal axes)
Asymmetric unit:
Li: 0.0000 0.0000 0.0000 x3  6 Ga 2.43
Li: 0.0000 0.0000 0.5000 x3  6 Ga 2.49, 2 Sn 2.75
Ac: 0.0000 0.0000 0.1062 x6  12 Ga 3.49-3.68, 3 Sn 3.87, 1 Li 3.89
Ac: 0.0000 0.0000 0.2780 x6  12 Ga 3.40-3.50
Ga: 0.0541 0.5271 0.3070 x18  1 Li 2.43
Ga: 0.0689 0.5344 0.8588 x18  1 Li 2.49, 2 Ga 2.63
Sn: 0.0000 0.0000 0.4250 x6  1 Li 2.75, 6 Ga 2.88-2.94

Calculated values
Magnetic moment (Bohr magnetons per cell): 0.000

(2)
The following is a DFT calculation (PBE) of a relaxed structure of SrLiAcGa.

Cell lengths 4.7491, 4.7491, 21.4339 Å; angles 90.00, 90.00, 120.00 degrees
With the nearest neighbours (Å) after each atom.
Space group R3m (No. 160, hexagonal axes)
Asymmetric unit:
Sr: 0.0000 0.0000 0.0000 x3  3 Li 3.32, 3 Ga 3.47
Li: 0.0000 0.0000 0.5794 x3  3 Ga 2.75
Ac: 0.0000 0.0000 0.8220 x3  3 Ga 3.22, 3 Li 3.36
Ga: 0.0000 0.0000 0.2342 x3  3 Li 2.75

Calculated values
Magnetic moment (Bohr magnetons per cell): 2.666
ΔE to the lowest computed polymorph (eV/atom): 0.042

(3)
The following is a DFT calculation (PBE) of a relaxed structure of SrLiAcGa.

Cell lengths 7.9428, 7.9428, 7.9428 Å; angles 90.00, 90.00, 90.00 degrees
With the nearest neighbours (Å) after each atom.
Space group F-43m (No. 216)
Asymmetric unit:
Sr: 0.0000 0.0000 0.0000 x4  4 Ga 3.44, 4 Li 3.44
Li: 0.2500 0.2500 0.2500 x4  4 Ac 3.44, 4 Sr 3.44
Ac: 0.0000 0.0000 0.5000 x4  4 Li 3.44, 4 Ga 3.44
Ga: 0.2500 0.2500 0.7500 x4  4 Ac 3.44, 4 Sr 3.44

Calculated values
Magnetic moment (Bohr magnetons per cell): 0.000
ΔE to the lowest computed polymorph (eV/atom): 0.000

no.,E_tot (eV for the cell shown)
1,-213.16
2,-34.04
3,-46.06